# 1
{
  "formula": "La4Bi2AsS",
  "functional": "PBE",
  "state": "optimized geometry",
  "e_form_raw_ev_per_fu": -11.5,
  "volume_a3_per_fu": 256.1,
  "lattice_angstrom": [[-4.480, 4.504, 6.347], [4.480, -4.504, 6.347], [4.480, 4.504, -6.347]],
  "species": ["La", "La", "La", "La", "La", "La", "La", "La", "Bi", "Bi", "Bi", "Bi", "As", "As", "S", "S"],
  "frac_coords": [[0.257, 0.242, 0.015], [0.258, 0.242, 0.485], [0.258, 0.773, 0.015], [0.273, 0.758, 0.515], [0.727, 0.242, 0.485], [0.742, 0.227, 0.985], [0.742, 0.758, 0.515], [0.743, 0.758, 0.985], [0.000, 0.000, 0.500], [0.000, 0.500, 0.000], [0.000, 0.500, 0.500], [0.500, 0.500, 0.000], [0.500, 0.000, 0.000], [0.500, 0.500, 0.500], [0.000, 0.000, 0.000], [0.500, 0.000, 0.500]]
}

# 2
{
  "formula": "BaGa2CoPt",
  "functional": "PBE",
  "state": "optimized geometry",
  "volume_a3_per_fu": 158.5,
  "formation_enthalpy_0k_mev_per_atom": 1742.6,
  "lattice_angstrom": [[5.738, 0.000, 0.000], [0.000, 5.738, 0.000], [0.000, 0.000, 4.815]],
  "species": ["Ba", "Ga", "Ga", "Co", "Pt"],
  "frac_coords": [[0.000, 0.000, 0.000], [0.000, 0.500, 0.000], [0.500, 0.000, 0.000], [0.000, 0.000, 0.500], [0.500, 0.500, 0.500]]
}